1.
The following is a PBE-GGA calculation of a geometry-optimized ScInI2Br structure, from the Alexandria database.

Values from the calculation:
formation energy without anion corrections: -827 meV/atom
size of the total moment: 0.187 μB/atom
calculated total energy: -18.0 eV for the cell shown

Lattice parameters (Å, degrees): 5.881 5.881 5.298 90.00 90.00 90.00
Sites, in units of the cell vectors:
Sc: 0.000 0.000 0.000
In: 0.500 0.500 0.500
I: 0.000 0.500 0.000
I: 0.500 0.000 0.000
Br: 0.000 0.000 0.500

2.
The following is a PBE-GGA calculation of a geometry-optimized InSeIBr2 structure, from the Alexandria database.

Values from the calculation:
formation energy without anion corrections: -25 meV/atom
size of the total moment: 0.000 μB/atom
calculated total energy: -11.2 eV for the cell shown
energy above the lowest structure with this stoichiometry: 0.0 meV/atom

Lattice parameters (Å, degrees): 5.263 5.263 5.861 90.00 90.00 90.00
Sites, in units of the cell vectors:
In: 0.000 0.000 0.000
Se: 0.000 0.000 0.500
I: 0.500 0.500 0.500
Br: 0.000 0.500 0.000
Br: 0.500 0.000 0.000

3.
The following is a PBE-GGA calculation of a geometry-optimized InSe2IBr structure, from the Alexandria database.

Values from the calculation:
formation energy without anion corrections: 226 meV/atom
size of the total moment: 0.007 μB/atom
calculated total energy: -11.8 eV for the cell shown
energy above the lowest structure with this stoichiometry: 0.0 meV/atom

Lattice parameters (Å, degrees): 5.423 5.423 5.299 90.00 90.00 90.00
Sites, in units of the cell vectors:
In: 0.000 0.000 0.000
Se: 0.000 0.500 0.000
Se: 0.500 0.000 0.000
I: 0.500 0.500 0.500
Br: 0.000 0.000 0.500

4.
The following is a PBE-GGA calculation of a geometry-optimized InSiI2Br structure, from the Alexandria database.

Values from the calculation:
formation energy without anion corrections: 19 meV/atom
size of the total moment: 0.000 μB/atom
calculated total energy: -12.8 eV for the cell shown

Lattice parameters (Å, degrees): 5.406 5.406 5.851 90.00 90.00 90.00
Sites, in units of the cell vectors:
In: 0.000 0.000 0.000
Si: 0.000 0.000 0.500
I: 0.000 0.500 0.500
I: 0.500 0.000 0.500
Br: 0.500 0.500 0.000